# Li2Ni3SbO8 PBE+U relaxed
# distance to the lowest polymorph of the same formula: 12.6 meV per atom
# size of the total moment: 18.000 μB/cell
data_Li2Ni3SbO8
_chemical_formula_sum 'Li12 Ni18 Sb6 O48'
_cell_length_a 5.8601
_cell_length_b 5.8601
_cell_length_c 29.6909
_cell_angle_alpha 90.00
_cell_angle_beta 90.00
_cell_angle_gamma 120.00
_symmetry_space_group_name_H-M 'R -3 c'
_symmetry_Int_Tables_number 167
_symmetry_space_group_name_Hall '-R 3 2"c'
loop_
_atom_site_label
_atom_site_fract_x
_atom_site_fract_y
_atom_site_fract_z
Li1 0.0000 0.0000 0.0641
Ni1 0.0000 0.5000 0.0000
Sb1 0.0000 0.0000 0.2500
O1 0.0000 0.0000 0.1355
O2 0.0262 0.4929 0.3739